{"formula": "AcPm9Ho2", "functional": "GGA-PBE", "state": "relaxed", "lattice_angstrom": [[5.168, 0.000, 0.000], [0.000, 5.168, 0.000], [0.000, 0.000, 15.519]], "species": ["Ac", "Pm", "Pm", "Pm", "Pm", "Pm", "Pm", "Pm", "Pm", "Pm", "Ho", "Ho"], "frac_coords": [[0.000, 0.000, 0.000], [0.000, 0.500, 0.174], [0.000, 0.500, 0.500], [0.000, 0.500, 0.826], [0.500, 0.000, 0.174], [0.500, 0.000, 0.500], [0.500, 0.000, 0.826], [0.500, 0.500, 0.000], [0.500, 0.500, 0.338], [0.500, 0.500, 0.662], [0.000, 0.000, 0.336], [0.000, 0.000, 0.664]], "energy_ev_per_atom": -4.642, "spacegroup": "P4/mmm (123)", "formation_energy_kj_per_mol_atoms": 2.6, "rho_g_cm3": 7.5, "total_magnetization_mub_per_fu": 0.00, "crystal_system": "tetragonal"}


{"formula": "AcPm4Ho", "functional": "GGA-PBE", "state": "relaxed", "lattice_angstrom": [[0.000, 4.776, 4.776], [4.776, 0.000, 4.776], [4.776, 4.776, 0.000]], "species": ["Ac", "Pm", "Pm", "Pm", "Pm", "Ho"], "frac_coords": [[0.000, 0.000, 0.000], [0.129, 0.624, 0.624], [0.624, 0.129, 0.624], [0.624, 0.624, 0.129], [0.624, 0.624, 0.624], [0.250, 0.250, 0.250]], "energy_ev_per_atom": -4.376, "relative_energy_ev_per_atom": 0.212, "spacegroup": "F-43m (216)", "formation_energy_kj_per_mol_atoms": 23.0, "rho_g_cm3": 7.4, "total_magnetization_mub_per_fu": 0.00, "crystal_system": "cubic"}


{"formula": "Ac2Pm3Ho", "functional": "GGA-PBE", "state": "relaxed", "lattice_angstrom": [[6.276, -2.948, 0.000], [6.276, 2.948, 0.000], [-3.878, 0.000, 11.971]], "species": ["Ac", "Ac", "Ac", "Ac", "Pm", "Pm", "Pm", "Pm", "Pm", "Pm", "Ho", "Ho"], "frac_coords": [[0.125, 0.125, 0.127], [0.374, 0.374, 0.376], [0.626, 0.626, 0.624], [0.875, 0.875, 0.873], [0.083, 0.083, 0.417], [0.166, 0.166, 0.832], [0.417, 0.417, 0.084], [0.583, 0.583, 0.916], [0.834, 0.834, 0.168], [0.917, 0.917, 0.583], [0.332, 0.332, 0.666], [0.668, 0.668, 0.334]], "energy_ev_per_atom": -4.448, "spacegroup": "C2/m (12)", "formation_energy_kj_per_mol_atoms": 5.7, "rho_g_cm3": 7.9, "total_magnetization_mub_per_fu": 0.00, "crystal_system": "monoclinic"}


{"formula": "Ac5Pm6Ho", "functional": "GGA-PBE", "state": "relaxed", "lattice_angstrom": [[-2.699, 5.255, 8.086], [2.699, -5.255, 8.086], [2.699, 5.255, -8.086]], "species": ["Ac", "Ac", "Ac", "Ac", "Ac", "Pm", "Pm", "Pm", "Pm", "Pm", "Pm", "Ho"], "frac_coords": [[0.000, 0.000, 0.000], [0.167, 0.667, 0.500], [0.338, 0.338, 0.000], [0.662, 0.662, 0.000], [0.833, 0.333, 0.500], [0.088, 0.835, 0.253], [0.253, 0.500, 0.753], [0.417, 0.165, 0.253], [0.583, 0.835, 0.747], [0.747, 0.500, 0.247], [0.912, 0.165, 0.747], [0.500, 0.000, 0.500]], "energy_ev_per_atom": -4.427, "spacegroup": "Immm (71)", "formation_energy_kj_per_mol_atoms": 4.0, "rho_g_cm3": 7.9, "total_magnetization_mub_per_fu": 0.00, "crystal_system": "orthorhombic"}


{"formula": "Ac2Pm7Ho2", "functional": "GGA-PBE", "state": "relaxed", "lattice_angstrom": [[5.820, -5.952, 0.000], [5.820, 5.952, 0.000], [-2.300, 0.000, 5.734]], "species": ["Ac", "Ac", "Pm", "Pm", "Pm", "Pm", "Pm", "Pm", "Pm", "Ho", "Ho"], "frac_coords": [[0.222, 0.222, 0.106], [0.778, 0.778, 0.894], [0.000, 0.000, 0.500], [0.049, 0.594, 0.328], [0.406, 0.951, 0.672], [0.423, 0.423, 0.703], [0.577, 0.577, 0.297], [0.594, 0.049, 0.328], [0.951, 0.406, 0.672], [0.232, 0.768, 0.000], [0.768, 0.232, 0.000]], "energy_ev_per_atom": -4.442, "relative_energy_ev_per_atom": 0.000, "spacegroup": "C2/m (12)", "formation_energy_kj_per_mol_atoms": 15.4, "rho_g_cm3": 7.5, "total_magnetization_mub_per_fu": 0.00, "crystal_system": "monoclinic"}


{"formula": "AcPm2Ho8", "functional": "GGA-PBE", "state": "relaxed", "lattice_angstrom": [[9.648, -3.547, 0.000], [9.648, 3.547, 0.000], [-0.293, 0.000, 5.505]], "species": ["Ac", "Pm", "Pm", "Ho", "Ho", "Ho", "Ho", "Ho", "Ho", "Ho", "Ho"], "frac_coords": [[0.000, 0.000, 0.000], [0.286, 0.286, 0.753], [0.714, 0.714, 0.247], [0.135, 0.596, 0.270], [0.189, 0.189, 0.234], [0.404, 0.865, 0.730], [0.454, 0.454, 0.760], [0.546, 0.546, 0.240], [0.596, 0.135, 0.270], [0.811, 0.811, 0.766], [0.865, 0.404, 0.730]], "energy_ev_per_atom": -4.431, "spacegroup": "C2/m (12)", "formation_energy_kj_per_mol_atoms": 13.1, "rho_g_cm3": 8.1, "total_magnetization_mub_per_fu": 0.00, "crystal_system": "monoclinic"}


{"formula": "Ac6Pm3Ho", "functional": "GGA-PBE", "state": "relaxed", "lattice_angstrom": [[3.876, 0.000, 0.000], [-0.001, 6.670, 0.000], [-0.015, -2.058, 31.029]], "species": ["Ac", "Ac", "Ac", "Ac", "Ac", "Ac", "Ac", "Ac", "Ac", "Ac", "Ac", "Ac", "Pm", "Pm", "Pm", "Pm", "Pm", "Pm", "Ho", "Ho"], "frac_coords": [[0.000, 0.108, 0.300], [0.000, 0.892, 0.700], [0.001, 0.197, 0.598], [0.002, 0.364, 0.098], [0.003, 0.272, 0.798], [0.499, 0.135, 0.903], [0.499, 0.309, 0.404], [0.501, 0.691, 0.596], [0.501, 0.865, 0.097], [0.997, 0.728, 0.202], [0.998, 0.636, 0.902], [0.999, 0.803, 0.402], [0.498, 0.234, 0.200], [0.500, 0.000, 0.500], [0.500, 0.398, 0.698], [0.500, 0.500, 0.000], [0.500, 0.602, 0.302], [0.502, 0.766, 0.800], [0.000, 0.000, 0.000], [0.000, 0.500, 0.500]], "energy_ev_per_atom": -4.311, "spacegroup": "P-1 (2)", "formation_energy_kj_per_mol_atoms": 3.6, "rho_g_cm3": 8.1, "total_magnetization_mub_per_fu": 0.00, "crystal_system": "triclinic"}


{"formula": "Ac2Pm3Ho2", "functional": "GGA-PBE", "state": "relaxed", "lattice_angstrom": [[5.898, -2.619, 0.000], [5.898, 2.619, 0.000], [-1.179, 0.000, 8.228]], "species": ["Ac", "Ac", "Pm", "Pm", "Pm", "Ho", "Ho"], "frac_coords": [[0.142, 0.142, 0.423], [0.858, 0.858, 0.577], [0.000, 0.000, 0.000], [0.429, 0.429, 0.273], [0.571, 0.571, 0.727], [0.282, 0.282, 0.866], [0.718, 0.718, 0.134]], "energy_ev_per_atom": -4.466, "spacegroup": "C2/m (12)", "formation_energy_kj_per_mol_atoms": 5.0, "rho_g_cm3": 8.0, "total_magnetization_mub_per_fu": 0.00, "crystal_system": "monoclinic"}


{"formula": "Ac2Pm5Ho", "functional": "GGA-PBE", "state": "relaxed", "lattice_angstrom": [[7.427, 0.000, 0.000], [0.000, 14.874, 0.000], [0.000, 0.000, 5.248]], "species": ["Ac", "Ac", "Ac", "Ac", "Pm", "Pm", "Pm", "Pm", "Pm", "Pm", "Pm", "Pm", "Pm", "Pm", "Ho", "Ho"], "frac_coords": [[0.248, 0.124, 0.000], [0.252, 0.624, 0.000], [0.748, 0.376, 0.000], [0.752, 0.876, 0.000], [0.000, 0.500, 0.500], [0.003, 0.751, 0.500], [0.248, 0.375, 0.000], [0.252, 0.875, 0.000], [0.497, 0.251, 0.500], [0.500, 0.000, 0.500], [0.503, 0.749, 0.500], [0.748, 0.125, 0.000], [0.752, 0.625, 0.000], [0.997, 0.249, 0.500], [0.000, 0.000, 0.500], [0.500, 0.500, 0.500]], "energy_ev_per_atom": -4.534, "relative_energy_ev_per_atom": 0.000, "spacegroup": "Pbam (55)", "formation_energy_kj_per_mol_atoms": 3.3, "rho_g_cm3": 7.7, "total_magnetization_mub_per_fu": 0.00, "crystal_system": "orthorhombic"}


{"formula": "AcPm7Ho3", "functional": "GGA-PBE", "state": "relaxed", "lattice_angstrom": [[7.251, 0.000, 0.000], [-3.625, 6.279, 0.000], [0.000, 0.000, 8.728]], "species": ["Ac", "Pm", "Pm", "Pm", "Pm", "Pm", "Pm", "Pm", "Ho", "Ho", "Ho"], "frac_coords": [[0.000, 0.000, 0.000], [0.001, 0.501, 0.013], [0.333, 0.667, 0.679], [0.334, 0.167, 0.664], [0.499, 0.501, 0.013], [0.499, 0.999, 0.013], [0.833, 0.167, 0.664], [0.833, 0.666, 0.664], [0.168, 0.337, 0.343], [0.168, 0.832, 0.343], [0.663, 0.832, 0.343]], "energy_ev_per_atom": -4.442, "spacegroup": "P3m1 (156)", "formation_energy_kj_per_mol_atoms": 19.6, "rho_g_cm3": 7.3, "total_magnetization_mub_per_fu": 0.00, "crystal_system": "trigonal"}


{"formula": "AcPm4Ho10", "functional": "GGA-PBE", "state": "relaxed", "lattice_angstrom": [[-6.443, 6.443, 3.291], [6.443, -6.443, 3.291], [6.443, 6.443, -3.291]], "species": ["Ac", "Pm", "Pm", "Pm", "Pm", "Ho", "Ho", "Ho", "Ho", "Ho", "Ho", "Ho", "Ho", "Ho", "Ho"], "frac_coords": [[0.000, 0.000, 0.000], [0.324, 0.432, 0.757], [0.432, 0.676, 0.108], [0.568, 0.324, 0.892], [0.676, 0.568, 0.243], [0.044, 0.619, 0.164], [0.120, 0.956, 0.575], [0.250, 0.750, 0.500], [0.381, 0.545, 0.425], [0.455, 0.880, 0.836], [0.545, 0.120, 0.164], [0.619, 0.455, 0.575], [0.750, 0.250, 0.500], [0.880, 0.044, 0.425], [0.956, 0.381, 0.836]], "energy_ev_per_atom": -4.064, "spacegroup": "I4/m (87)", "formation_energy_kj_per_mol_atoms": 51.0, "rho_g_cm3": 7.5, "total_magnetization_mub_per_fu": 0.00, "crystal_system": "tetragonal"}


{"formula": "AcPm6Ho5", "functional": "GGA-PBE", "state": "relaxed", "lattice_angstrom": [[6.006, -5.450, 0.000], [6.006, 5.450, 0.000], [-1.110, 0.000, 6.174]], "species": ["Ac", "Pm", "Pm", "Pm", "Pm", "Pm", "Pm", "Ho", "Ho", "Ho", "Ho", "Ho"], "frac_coords": [[0.000, 0.000, 0.000], [0.085, 0.421, 0.249], [0.252, 0.252, 0.744], [0.421, 0.085, 0.249], [0.579, 0.915, 0.751], [0.748, 0.748, 0.256], [0.915, 0.579, 0.751], [0.172, 0.828, 0.500], [0.337, 0.663, 0.000], [0.500, 0.500, 0.500], [0.663, 0.337, 0.000], [0.828, 0.172, 0.500]], "energy_ev_per_atom": -4.594, "spacegroup": "C2/m (12)", "formation_energy_kj_per_mol_atoms": 3.0, "rho_g_cm3": 7.9, "total_magnetization_mub_per_fu": 0.00, "crystal_system": "monoclinic"}


{"formula": "Ac2Pm8Ho", "functional": "GGA-PBE", "state": "relaxed", "lattice_angstrom": [[8.415, -3.456, 0.000], [8.415, 3.456, 0.000], [-1.335, 0.000, 6.895]], "species": ["Ac", "Ac", "Pm", "Pm", "Pm", "Pm", "Pm", "Pm", "Pm", "Pm", "Ho"], "frac_coords": [[0.197, 0.197, 0.310], [0.803, 0.803, 0.690], [0.179, 0.651, 0.103], [0.244, 0.244, 0.821], [0.349, 0.821, 0.897], [0.413, 0.413, 0.593], [0.587, 0.587, 0.407], [0.651, 0.179, 0.103], [0.756, 0.756, 0.179], [0.821, 0.349, 0.897], [0.000, 0.000, 0.500]], "energy_ev_per_atom": -4.470, "relative_energy_ev_per_atom": 0.000, "spacegroup": "C2/m (12)", "formation_energy_kj_per_mol_atoms": 14.3, "rho_g_cm3": 7.4, "total_magnetization_mub_per_fu": 0.00, "crystal_system": "monoclinic"}


{"formula": "AcPm10Ho6", "functional": "GGA-PBE", "state": "relaxed", "lattice_angstrom": [[9.866, 0.000, 0.000], [-4.933, 8.544, 0.000], [0.000, 0.000, 6.934]], "species": ["Ac", "Pm", "Pm", "Pm", "Pm", "Pm", "Pm", "Pm", "Pm", "Pm", "Pm", "Ho", "Ho", "Ho", "Ho", "Ho", "Ho"], "frac_coords": [[0.000, 0.000, 0.000], [0.000, 0.282, 0.326], [0.000, 0.718, 0.674], [0.282, 0.000, 0.326], [0.282, 0.282, 0.674], [0.333, 0.667, 0.000], [0.333, 0.667, 0.500], [0.667, 0.333, 0.000], [0.667, 0.333, 0.500], [0.718, 0.000, 0.674], [0.718, 0.718, 0.326], [0.000, 0.372, 0.812], [0.000, 0.628, 0.188], [0.372, 0.000, 0.812], [0.372, 0.372, 0.188], [0.628, 0.000, 0.188], [0.628, 0.628, 0.812]], "energy_ev_per_atom": -4.515, "spacegroup": "P-31m (162)", "formation_energy_kj_per_mol_atoms": 13.2, "rho_g_cm3": 7.6, "total_magnetization_mub_per_fu": 0.00, "crystal_system": "trigonal"}


{"formula": "AcPm14Ho", "functional": "GGA-PBE", "state": "relaxed", "lattice_angstrom": [[11.845, 0.000, 0.000], [0.000, 3.696, 6.412], [0.000, -3.696, 6.412]], "species": ["Ac", "Pm", "Pm", "Pm", "Pm", "Pm", "Pm", "Pm", "Pm", "Pm", "Pm", "Pm", "Pm", "Pm", "Pm", "Ho"], "frac_coords": [[0.000, 0.000, 0.000], [0.000, 0.503, 0.999], [0.000, 0.999, 0.503], [0.248, 0.335, 0.335], [0.252, 0.337, 0.834], [0.252, 0.834, 0.337], [0.254, 0.834, 0.834], [0.500, 0.001, 0.001], [0.500, 0.001, 0.500], [0.500, 0.500, 0.001], [0.500, 0.501, 0.501], [0.746, 0.834, 0.834], [0.748, 0.337, 0.834], [0.748, 0.834, 0.337], [0.752, 0.335, 0.335], [0.000, 0.502, 0.502]], "energy_ev_per_atom": -4.663, "spacegroup": "Amm2 (38)", "formation_energy_kj_per_mol_atoms": 3.6, "rho_g_cm3": 7.2, "total_magnetization_mub_per_fu": 0.00, "crystal_system": "orthorhombic"}


{"formula": "Ac2Pm5Ho", "functional": "GGA-PBE", "state": "relaxed", "lattice_angstrom": [[-2.645, 2.645, 10.409], [2.645, -2.645, 10.409], [2.645, 2.645, -10.409]], "species": ["Ac", "Ac", "Pm", "Pm", "Pm", "Pm", "Pm", "Ho"], "frac_coords": [[0.250, 0.250, 0.000], [0.750, 0.750, 0.000], [0.000, 0.000, 0.000], [0.119, 0.619, 0.500], [0.381, 0.881, 0.500], [0.619, 0.119, 0.500], [0.881, 0.381, 0.500], [0.500, 0.500, 0.000]], "energy_ev_per_atom": -4.531, "relative_energy_ev_per_atom": 0.004, "spacegroup": "I4/mmm (139)", "formation_energy_kj_per_mol_atoms": 3.6, "rho_g_cm3": 7.7, "total_magnetization_mub_per_fu": 0.00, "crystal_system": "tetragonal"}


{"formula": "Ac2Pm6Ho", "functional": "GGA-PBE", "state": "relaxed", "lattice_angstrom": [[6.357, -3.671, 0.000], [6.357, 3.671, 0.000], [-0.001, 0.000, 7.114]], "species": ["Ac", "Ac", "Pm", "Pm", "Pm", "Pm", "Pm", "Pm", "Ho"], "frac_coords": [[0.166, 0.166, 0.173], [0.834, 0.834, 0.827], [0.140, 0.679, 0.319], [0.321, 0.321, 0.682], [0.321, 0.860, 0.681], [0.679, 0.140, 0.319], [0.679, 0.679, 0.318], [0.860, 0.321, 0.681], [0.500, 0.500, 0.000]], "energy_ev_per_atom": -4.425, "relative_energy_ev_per_atom": 0.072, "spacegroup": "C2/m (12)", "formation_energy_kj_per_mol_atoms": 15.8, "rho_g_cm3": 7.4, "total_magnetization_mub_per_fu": 0.09, "crystal_system": "monoclinic"}


{"formula": "Ac2Pm6Ho", "functional": "GGA-PBE", "state": "relaxed", "lattice_angstrom": [[7.813, -5.080, 0.000], [7.813, 5.080, 0.000], [-4.351, 0.000, 8.199]], "species": ["Ac", "Ac", "Ac", "Ac", "Pm", "Pm", "Pm", "Pm", "Pm", "Pm", "Pm", "Pm", "Pm", "Pm", "Pm", "Pm", "Ho", "Ho"], "frac_coords": [[0.019, 0.170, 0.182], [0.170, 0.019, 0.682], [0.830, 0.981, 0.318], [0.981, 0.830, 0.818], [0.093, 0.578, 0.421], [0.172, 0.354, 0.019], [0.336, 0.500, 0.838], [0.354, 0.172, 0.519], [0.422, 0.907, 0.079], [0.500, 0.336, 0.338], [0.500, 0.664, 0.662], [0.578, 0.093, 0.921], [0.646, 0.828, 0.481], [0.664, 0.500, 0.162], [0.828, 0.646, 0.981], [0.907, 0.422, 0.579], [0.260, 0.740, 0.250], [0.740, 0.260, 0.750]], "energy_ev_per_atom": -4.497, "relative_energy_ev_per_atom": 0.000, "spacegroup": "C2/c (15)", "formation_energy_kj_per_mol_atoms": 8.8, "rho_g_cm3": 7.6, "total_magnetization_mub_per_fu": 0.00, "crystal_system": "monoclinic"}


{"formula": "AcPm4Ho", "functional": "GGA-PBE", "state": "relaxed", "lattice_angstrom": [[3.566, -10.048, 0.000], [3.566, 10.048, 0.000], [-0.012, 0.000, 6.020]], "species": ["Ac", "Ac", "Pm", "Pm", "Pm", "Pm", "Pm", "Pm", "Pm", "Pm", "Ho", "Ho"], "frac_coords": [[0.054, 0.946, 0.750], [0.946, 0.054, 0.250], [0.046, 0.465, 0.250], [0.143, 0.371, 0.750], [0.371, 0.143, 0.250], [0.465, 0.046, 0.750], [0.535, 0.954, 0.250], [0.629, 0.857, 0.750], [0.857, 0.629, 0.250], [0.954, 0.535, 0.750], [0.450, 0.550, 0.250], [0.550, 0.450, 0.750]], "energy_ev_per_atom": -4.437, "relative_energy_ev_per_atom": 0.152, "spacegroup": "C2/c (15)", "formation_energy_kj_per_mol_atoms": 17.2, "rho_g_cm3": 7.5, "total_magnetization_mub_per_fu": 0.00, "crystal_system": "monoclinic"}


{"formula": "Ac3Pm8Ho", "functional": "GGA-PBE", "state": "relaxed", "lattice_angstrom": [[5.810, -6.501, 0.000], [5.810, 6.501, 0.000], [-5.808, 0.000, 6.502]], "species": ["Ac", "Ac", "Ac", "Pm", "Pm", "Pm", "Pm", "Pm", "Pm", "Pm", "Pm", "Ho"], "frac_coords": [[0.000, 0.000, 0.000], [0.251, 0.750, 0.500], [0.750, 0.251, 0.500], [0.137, 0.137, 0.753], [0.239, 0.707, 0.000], [0.295, 0.295, 0.533], [0.383, 0.383, 0.245], [0.617, 0.863, 0.001], [0.707, 0.239, 0.000], [0.761, 0.761, 0.467], [0.863, 0.617, 0.001], [0.500, 0.500, 0.000]], "energy_ev_per_atom": -4.044, "spacegroup": "Cm (8)", "formation_energy_kj_per_mol_atoms": 51.3, "rho_g_cm3": 6.8, "total_magnetization_mub_per_fu": 0.00, "crystal_system": "monoclinic"}